YMnO2F after structural relaxation. Source: Alexandria, functional PBE with a Hubbard U.

Calculated values
- VASP energy: -36.94 eV per cell
- Calculated density: 5.0 Mg/m³

Unit cell a=4.039 b=4.039 c=3.951 alpha=90.00 beta=90.00 gamma=90.00
Space group P4/mmm (No. 123)
Symmetry-distinct sites (fractional):
1 Y 0.000 0.000 0.000 [1 per cell]
2 Mn 0.500 0.500 0.500 [1 per cell]
3 O 0.000 0.500 0.500 [2 per cell]
4 F 0.500 0.500 0.000 [1 per cell]

---

YMnO2F after structural relaxation. Source: Alexandria, functional PBE with a Hubbard U.

Calculated values
- VASP energy: -36.40 eV per cell
- Calculated density: 3.9 Mg/m³

Unit cell a=4.408 b=4.408 c=4.235 alpha=90.00 beta=90.00 gamma=90.00
Space group P4/mmm (No. 123)
Symmetry-distinct sites (fractional):
1 Y 0.000 0.000 0.000 [1 per cell]
2 Mn 0.500 0.500 0.500 [1 per cell]
3 O 0.000 0.500 0.000 [2 per cell]
4 F 0.000 0.000 0.500 [1 per cell]

---

MnZnO2F after structural relaxation. Source: Alexandria, functional PBE with a Hubbard U.

Calculated values
- VASP energy: -25.94 eV per cell
- Calculated density: 4.8 Mg/m³

Unit cell a=3.852 b=3.852 c=3.981 alpha=90.00 beta=90.00 gamma=90.00
Space group P4/mmm (No. 123)
Symmetry-distinct sites (fractional):
1 Mn 0.000 0.000 0.000 [1 per cell]
2 Zn 0.500 0.500 0.500 [1 per cell]
3 O 0.000 0.500 0.500 [2 per cell]
4 F 0.500 0.500 0.000 [1 per cell]

---

MnZnO2F after structural relaxation. Source: Alexandria, functional PBE with a Hubbard U.

Calculated values
- VASP energy: -26.43 eV per cell
- Calculated density: 4.9 Mg/m³

Unit cell a=3.859 b=3.859 c=3.889 alpha=90.00 beta=90.00 gamma=90.00
Space group P4/mmm (No. 123)
Symmetry-distinct sites (fractional):
1 Mn 0.000 0.000 0.000 [1 per cell]
2 Zn 0.500 0.500 0.500 [1 per cell]
3 O 0.000 0.500 0.000 [2 per cell]
4 F 0.000 0.000 0.500 [1 per cell]

---

ZrMnO2F after structural relaxation. Source: Alexandria, functional PBE with a Hubbard U.

Calculated values
- VASP energy: -38.74 eV per cell
- Calculated density: 4.4 Mg/m³

Unit cell a=4.170 b=4.170 c=4.326 alpha=90.00 beta=90.00 gamma=90.00
Space group P4/mmm (No. 123)
Symmetry-distinct sites (fractional):
1 Zr 0.000 0.000 0.000 [1 per cell]
2 Mn 0.500 0.500 0.500 [1 per cell]
3 O 0.000 0.500 0.000 [2 per cell]
4 F 0.000 0.000 0.500 [1 per cell]

---

ZrMnO2F after structural relaxation. Source: Alexandria, functional PBE with a Hubbard U.

Calculated values
- VASP energy: -35.59 eV per cell
- Calculated density: 5.3 Mg/m³

Unit cell a=3.992 b=3.992 c=3.903 alpha=90.00 beta=90.00 gamma=90.00
Space group P4/mmm (No. 123)
Symmetry-distinct sites (fractional):
1 Zr 0.000 0.000 0.000 [1 per cell]
2 Mn 0.500 0.500 0.500 [1 per cell]
3 O 0.000 0.500 0.500 [2 per cell]
4 F 0.500 0.500 0.000 [1 per cell]

---

ZrMnO5F6 after structural relaxation. Source: Alexandria, functional PBE with a Hubbard U.

Calculated values
- VASP energy: -289.85 eV per cell
- Calculated density: 3.0 Mg/m³

Unit cell a=12.809 b=7.728 c=8.856 alpha=90.00 beta=120.03 gamma=90.00
Space group C2/m (No. 12)
Symmetry-distinct sites (fractional):
1 Zr 0.000 0.235 0.000 [4 per cell]
2 Mn 0.216 0.500 0.616 [4 per cell]
3 O 0.128 0.338 0.548 [8 per cell]
4 O 0.157 0.000 0.754 [4 per cell]
5 O 0.208 0.000 0.480 [4 per cell]
6 O 0.249 0.000 0.889 [4 per cell]
7 F 0.017 0.000 0.878 [4 per cell]
8 F 0.056 0.319 0.841 [8 per cell]
9 F 0.108 0.500 0.134 [4 per cell]
10 F 0.181 0.161 0.180 [8 per cell]

---

Mn3OsF after structural relaxation. Source: Alexandria, functional PBE with a Hubbard U.

Calculated values
- VASP energy: -34.73 eV per cell
- Distance to the lowest polymorph of the same formula: 0.0 kJ per mole of atoms
- Calculated density: 7.8 Mg/m³

Unit cell a=4.305 b=4.305 c=4.305 alpha=90.00 beta=90.00 gamma=90.00
Space group Pm-3m (No. 221)
Symmetry-distinct sites (fractional):
1 Mn 0.000 0.000 0.500 [3 per cell]
2 Os 0.500 0.500 0.500 [1 per cell]
3 F 0.000 0.000 0.000 [1 per cell]

---

MnOs3F after structural relaxation. Source: Alexandria, functional PBE with a Hubbard U.

Calculated values
- VASP energy: -30.66 eV per cell
- Distance to the lowest polymorph of the same formula: 87.1 kJ per mole of atoms
- Calculated density: 12.2 Mg/m³

Unit cell a=4.444 b=4.444 c=4.444 alpha=90.00 beta=90.00 gamma=90.00
Space group Pm-3m (No. 221)
Symmetry-distinct sites (fractional):
1 Mn 0.000 0.000 0.000 [1 per cell]
2 Os 0.000 0.000 0.500 [3 per cell]
3 F 0.500 0.500 0.500 [1 per cell]

---

MnOsF3 after structural relaxation. Source: Alexandria, functional PBE with a Hubbard U.

Calculated values
- VASP energy: -21.56 eV per cell
- Distance to the lowest polymorph of the same formula: 96.5 kJ per mole of atoms
- Calculated density: 8.0 Mg/m³

Unit cell a=3.969 b=3.969 c=3.969 alpha=90.00 beta=90.00 gamma=90.00
Space group Pm-3m (No. 221)
Symmetry-distinct sites (fractional):
1 Mn 0.000 0.000 0.000 [1 per cell]
2 Os 0.500 0.500 0.500 [1 per cell]
3 F 0.000 0.000 0.500 [3 per cell]

---

MnOsF3 after structural relaxation. Source: Alexandria, functional PBE with a Hubbard U.

Calculated values
- VASP energy: -26.56 eV per cell
- Distance to the lowest polymorph of the same formula: 0.0 kJ per mole of atoms
- Calculated density: 6.5 Mg/m³

Unit cell a=4.249 b=4.249 c=4.249 alpha=90.00 beta=90.00 gamma=90.00
Space group Pm-3m (No. 221)
Symmetry-distinct sites (fractional):
1 Mn 0.000 0.000 0.000 [1 per cell]
2 Os 0.500 0.500 0.500 [1 per cell]
3 F 0.000 0.500 0.500 [3 per cell]

---

MnOsF6 after structural relaxation. Source: Alexandria, functional PBE with a Hubbard U.

Calculated values
- VASP energy: -91.56 eV per cell
- Calculated density: 5.1 Mg/m³

Unit cell a=5.275 b=8.686 c=5.260 alpha=90.00 beta=102.48 gamma=90.00
Space group C2/m (No. 12)
Symmetry-distinct sites (fractional):
1 Mn 0.000 0.000 0.000 [2 per cell]
2 Os 0.000 0.500 0.500 [2 per cell]
3 F 0.228 0.355 0.744 [8 per cell]
4 F 0.245 0.500 0.276 [4 per cell]

---

Mn3OsF after structural relaxation. Source: Alexandria, functional PBE with a Hubbard U.

Calculated values
- VASP energy: -31.69 eV per cell
- Distance to the lowest polymorph of the same formula: 58.5 kJ per mole of atoms
- Calculated density: 5.0 Mg/m³

Unit cell a=4.996 b=4.996 c=4.996 alpha=90.00 beta=90.00 gamma=90.00
Space group Pm-3m (No. 221)
Symmetry-distinct sites (fractional):
1 Mn 0.000 0.000 0.500 [3 per cell]
2 Os 0.000 0.000 0.000 [1 per cell]
3 F 0.500 0.500 0.500 [1 per cell]

---

MnOs2F2 after structural relaxation. Source: Alexandria, functional PBE with a Hubbard U.

Calculated values
- VASP energy: -32.54 eV per cell
- Calculated density: 9.7 Mg/m³

Unit cell a=4.026 b=4.026 c=4.993 alpha=90.00 beta=90.00 gamma=90.00
Space group P4/mmm (No. 123)
Symmetry-distinct sites (fractional):
1 Mn 0.000 0.000 0.000 [1 per cell]
2 Os 0.500 0.500 0.000 [1 per cell]
3 Os 0.500 0.500 0.500 [1 per cell]
4 F 0.000 0.500 0.500 [2 per cell]

---

MnOs3F after structural relaxation. Source: Alexandria, functional PBE with a Hubbard U.

Calculated values
- VASP energy: -35.18 eV per cell
- Distance to the lowest polymorph of the same formula: 0.0 kJ per mole of atoms
- Calculated density: 14.1 Mg/m³

Unit cell a=4.230 b=4.230 c=4.230 alpha=90.00 beta=90.00 gamma=90.00
Space group Pm-3m (No. 221)
Symmetry-distinct sites (fractional):
1 Mn 0.000 0.000 0.000 [1 per cell]
2 Os 0.000 0.500 0.500 [3 per cell]
3 F 0.500 0.500 0.500 [1 per cell]

---

MnReOs2F after structural relaxation. Source: Alexandria, functional PBE with a Hubbard U.

Calculated values
- VASP energy: -38.88 eV per cell
- Calculated density: 11.7 Mg/m³

Unit cell a=4.810 b=4.810 c=3.931 alpha=90.00 beta=90.00 gamma=90.00
Space group P4/mmm (No. 123)
Symmetry-distinct sites (fractional):
1 Mn 0.000 0.000 0.000 [1 per cell]
2 Re 0.500 0.500 0.500 [1 per cell]
3 Os 0.000 0.500 0.500 [2 per cell]
4 F 0.500 0.500 0.000 [1 per cell]

---

Mn2SbOsF after structural relaxation. Source: Alexandria, functional PBE with a Hubbard U.

Calculated values
- VASP energy: -30.36 eV per cell
- Calculated density: 7.1 Mg/m³

Unit cell a=5.105 b=5.105 c=3.964 alpha=90.00 beta=90.00 gamma=90.00
Space group P4/mmm (No. 123)
Symmetry-distinct sites (fractional):
1 Mn 0.000 0.500 0.000 [2 per cell]
2 Sb 0.000 0.000 0.500 [1 per cell]
3 Os 0.500 0.500 0.000 [1 per cell]
4 F 0.500 0.500 0.500 [1 per cell]

---

MnTc2OsF after structural relaxation. Source: Alexandria, functional PBE with a Hubbard U.

Calculated values
- VASP energy: -35.25 eV per cell
- Calculated density: 9.9 Mg/m³

Unit cell a=4.734 b=4.734 c=3.462 alpha=90.00 beta=90.00 gamma=90.00
Space group P4/mmm (No. 123)
Symmetry-distinct sites (fractional):
1 Mn 0.000 0.000 0.000 [1 per cell]
2 Tc 0.000 0.500 0.000 [2 per cell]
3 Os 0.500 0.500 0.500 [1 per cell]
4 F 0.000 0.000 0.500 [1 per cell]

---

MnPF2 after structural relaxation. Source: Alexandria, functional PBE with a Hubbard U.

Calculated values
- VASP energy: -58.72 eV per cell
- Distance to the lowest polymorph of the same formula: 20.7 kJ per mole of atoms
- Calculated density: 3.5 Mg/m³

Unit cell a=2.8880 b=2.8880 c=24.1965 alpha=90.00 beta=90.00 gamma=120.00
Space group R-3m (No. 166, hexagonal axes)
Symmetry-distinct sites (fractional):
1 Mn 0.0000 0.0000 0.0000 [3 per cell]
2 P 0.0000 0.0000 0.5000 [3 per cell]
3 F 0.0000 0.0000 0.0774 [6 per cell]

---

MnPF2 after structural relaxation. Source: Alexandria, functional PBE with a Hubbard U.

Calculated values
- VASP energy: -76.13 eV per cell
- Distance to the lowest polymorph of the same formula: 33.7 kJ per mole of atoms
- Calculated density: 3.8 Mg/m³

Unit cell a=6.004 b=6.004 c=6.004 alpha=90.00 beta=90.00 gamma=90.00
Space group Fm-3m (No. 225)
Symmetry-distinct sites (fractional):
1 Mn 0.000 0.000 0.000 [4 per cell]
2 P 0.000 0.000 0.500 [4 per cell]
3 F 0.250 0.250 0.250 [8 per cell]